Record 1
{"formula": "BeS3F", "functional": "PBE", "state": "relaxed", "lattice": [[4.172, 0.000, 0.000], [0.000, 4.172, 0.000], [0.000, 0.000, 4.172]], "species": ["Be", "S", "S", "S", "F"], "frac_coords": [[0.000, 0.000, 0.000], [0.000, 0.500, 0.000], [0.000, 0.000, 0.500], [0.500, 0.000, 0.000], [0.500, 0.500, 0.500]], "crystal_system": "cubic", "mass_density_g_cm3": 2.8, "space_group": "No. 221", "e_form_raw_kj_per_mol_atoms": 33.3, "total_magnetization_mub_per_cell": 0.00, "volume_a3_per_fu": 72.6}



Record 2
{"formula": "BeSF2", "functional": "PBE", "state": "relaxed", "lattice": [[0.000, 2.890, 2.890], [2.890, 0.000, 2.890], [2.890, 2.890, 0.000]], "species": ["Be", "S", "F", "F"], "frac_coords": [[0.000, 0.000, 0.000], [0.500, 0.500, 0.500], [0.250, 0.250, 0.250], [0.750, 0.750, 0.750]], "crystal_system": "cubic", "mass_density_g_cm3": 2.7, "space_group": "No. 225", "e_form_raw_kj_per_mol_atoms": -4.5, "total_magnetization_mub_per_cell": 1.96, "volume_a3_per_fu": 48.3}



Record 3
{"formula": "BeS3F", "functional": "PBE", "state": "relaxed", "lattice": [[4.324, 0.000, 0.000], [0.000, 4.324, 0.000], [0.000, 0.000, 4.324]], "species": ["Be", "S", "S", "S", "F"], "frac_coords": [[0.500, 0.500, 0.500], [0.000, 0.500, 0.000], [0.000, 0.000, 0.500], [0.500, 0.000, 0.000], [0.000, 0.000, 0.000]], "crystal_system": "cubic", "mass_density_g_cm3": 2.6, "space_group": "No. 221", "e_form_raw_kj_per_mol_atoms": 108.3, "total_magnetization_mub_per_cell": 0.00, "volume_a3_per_fu": 80.8}



Record 4
{"formula": "Sc2BeSF", "functional": "PBE", "state": "relaxed", "lattice": [[-0.829, -4.617, -0.409], [3.580, -0.747, 1.175], [-1.492, -0.128, 4.465]], "species": ["Sc", "Sc", "Be", "S", "F"], "frac_coords": [[0.000, 0.000, 0.500], [0.500, 0.000, 0.000], [0.000, 0.000, 0.000], [0.000, 0.500, 0.000], [0.500, 0.500, 0.500]], "crystal_system": "tetragonal", "mass_density_g_cm3": 2.9, "space_group": "No. 123", "e_form_raw_kj_per_mol_atoms": -54.8, "total_magnetization_mub_per_cell": 0.00, "volume_a3_per_fu": 85.2}